Entry 1:
MgBPb2 after structural relaxation. Source: Alexandria via LeMat-Bulk, functional PBE-GGA.

DFT formation energy, eV per atom: 0.698
ΔE to the lowest computed polymorph, meV/atom: 0

Cell lengths 6.609, 6.609, 6.881 Å; angles 61.30, 61.30, 90.00 degrees
Sites, in units of the cell vectors:
Pb (0.545, 0.125, 0.250)
Pb (0.205, 0.625, 0.250)
Pb (0.375, 0.455, 0.750)
Pb (0.875, 0.795, 0.750)
Mg (0.000, 0.000, 0.000)
Mg (0.750, 0.250, 0.500)
B (0.500, 0.500, 0.000)
B (0.250, 0.750, 0.500)

=====

Entry 2:
TbCe2Tl3 after structural relaxation. Source: Alexandria via LeMat-Bulk, functional PBE-GGA.

DFT formation energy, eV per atom: -0.278

Cell lengths 3.522, 3.522, 13.636 Å; angles 90.00, 90.00, 90.00 degrees
Site moments in Bohr magnetons follow the coordinates.
Sites, in units of the cell vectors:
Tb (0.500, 0.500, 0.500)  -0.10
Ce (0.500, 0.500, 0.830)  0.96
Ce (0.500, 0.500, 0.170)  0.96
Tl (0.000, 0.000, 0.000)  0.00
Tl (0.000, 0.000, 0.661)  -0.01
Tl (0.000, 0.000, 0.339)  -0.01

=====

Entry 3:
Tm4ThSn2 after structural relaxation. Source: Alexandria via LeMat-Bulk, functional PBE-GGA.

DFT formation energy, eV per atom: 0.625

Cell lengths 5.511, 5.511, 8.898 Å; angles 108.04, 108.04, 90.00 degrees
Sites, in units of the cell vectors:
Tm (0.810, 0.810, 0.620)
Tm (0.190, 0.190, 0.380)
Tm (0.000, 0.500, 0.000)
Tm (0.500, 0.000, 0.000)
Th (0.000, 0.000, 0.000)
Sn (0.621, 0.621, 0.242)
Sn (0.379, 0.379, 0.758)

=====

Entry 4:
PmMoN3 after structural relaxation. Source: Alexandria via LeMat-Bulk, functional PBE-GGA.

Energy relative to the elements, uncorrected, eV per atom: -0.8613

Cell lengths 6.347, 7.370, 7.370 Å; angles 82.95, 74.94, 74.94 degrees
Sites, in units of the cell vectors:
Pm (0.750, 0.307, 0.693)
Pm (0.250, 0.090, 0.910)
Pm (0.750, 0.910, 0.090)
Pm (0.250, 0.693, 0.307)
Mo (0.740, 0.380, 0.200)
Mo (0.240, 0.200, 0.380)
Mo (0.760, 0.800, 0.620)
Mo (0.260, 0.620, 0.800)
N (0.464, 0.345, 0.363)
N (0.654, 0.000, 0.776)
N (0.964, 0.363, 0.345)
N (0.036, 0.637, 0.655)
N (0.850, 0.886, 0.382)
N (0.154, 0.776, 0.000)
N (0.536, 0.655, 0.637)
N (0.846, 0.224, 0.000)
N (0.346, 0.000, 0.224)
N (0.350, 0.382, 0.886)
N (0.150, 0.114, 0.618)
N (0.650, 0.618, 0.114)

=====

Entry 5:
SrTb2WN4 after structural relaxation. Source: Alexandria via LeMat-Bulk, functional PBE-GGA.

Energy relative to the elements, uncorrected, eV per atom: -1.0524

Cell lengths 3.440, 6.359, 12.200 Å; angles 90.00, 90.00, 105.69 degrees
Sites, in units of the cell vectors:
Sr (0.082, 0.163, 0.750)
Sr (0.918, 0.837, 0.250)
Tb (0.372, 0.743, 0.538)
Tb (0.628, 0.257, 0.038)
Tb (0.628, 0.257, 0.462)
Tb (0.372, 0.743, 0.962)
W (0.820, 0.640, 0.750)
W (0.180, 0.360, 0.250)
N (0.261, 0.522, 0.118)
N (0.739, 0.478, 0.618)
N (0.739, 0.478, 0.882)
N (0.261, 0.522, 0.382)
N (0.000, 0.000, 0.500)
N (0.000, 0.000, 0.000)
N (0.412, 0.824, 0.750)
N (0.588, 0.176, 0.250)

=====

Entry 6:
Pu2BeSiPt6 after structural relaxation. Source: Alexandria via LeMat-Bulk, functional PBE-GGA.

Energy relative to the elements, uncorrected, eV per atom: -0.5144

Cell lengths 6.390, 6.390, 6.390 Å; angles 60.00, 60.00, 90.00 degrees
Site moments in Bohr magnetons follow the coordinates.
Sites, in units of the cell vectors:
Pu (0.250, 0.750, 0.500)  5.14
Pu (0.750, 0.250, 0.500)  5.14
Be (0.500, 0.500, 0.000)  -0.01
Si (0.000, 0.000, 0.000)  -0.01
Pt (0.259, 0.741, 0.000)  -0.05
Pt (0.741, 0.741, 0.000)  -0.05
Pt (0.259, 0.259, 0.483)  -0.05
Pt (0.741, 0.259, 0.000)  -0.05
Pt (0.259, 0.259, 0.000)  -0.05
Pt (0.741, 0.741, 0.517)  -0.05

=====

Per-record magnetic moment, μB per formula unit: 0.00; 2.43; 0.00; 0.00; 0.00; 10.22
Per-record density of states at the Fermi level, states/eV per atom: 0.48; 2.43; 1.22; 0.00; 0.55; 3.48